A relaxed CeZr2Sn crystal. Source: Alexandria, functional PBE.

Lattice parameters (Å, degrees): 5.0914 5.0914 5.0914 60.00 60.00 60.00
Atoms (fractional coordinates):
1 Ce 0.0000 0.0000 0.0000
2 Zr 0.2500 0.2500 0.2500
3 Zr 0.7500 0.7500 0.7500
4 Sn 0.5000 0.5000 0.5000

Output
* excess energy over the best structure of this formula in the dataset: 0.71 eV/f.u.
* ρ: 7.9 g/cm³

---

A relaxed CoMoSe2 crystal. Source: Alexandria, functional PBE.

Lattice parameters (Å, degrees): 4.2786 4.2786 5.1913 95.76 95.76 43.67
Atoms (fractional coordinates):
1 Co 0.0000 0.0000 0.0000
2 Mo 0.5000 0.5000 0.5000
3 Se 0.2169 0.2169 0.7383
4 Se 0.7831 0.7831 0.2617

Output
* formation energy from raw total energies: 165.3 meV/atom
* excess energy over the best structure of this formula in the dataset: 1.68 eV/f.u.
* ρ: 8.0 g/cm³

---

A relaxed CeNiBr2 crystal. Source: Alexandria, functional PBE.

Lattice parameters (Å, degrees): 8.9916 8.9916 8.9916 23.95 23.95 23.95
Atoms (fractional coordinates):
1 Ce 0.0000 0.0000 0.0000
2 Ni 0.5000 0.5000 0.5000
3 Br 0.1121 0.1121 0.1121
4 Br 0.8879 0.8879 0.8879

Output
* formation energy from raw total energies: -227.3 meV/atom
* ρ: 5.7 g/cm³

---

A relaxed AcScReO6 crystal. Source: Alexandria, functional PBE.

Lattice parameters (Å, degrees): 5.3724 5.3724 5.3389 90.00 90.00 120.00
Atoms (fractional coordinates):
1 Ac 0.0000 0.0000 0.0000
2 Sc 0.3333 0.6667 0.5000
3 Re 0.6667 0.3333 0.5000
4 O 0.3818 0.0233 0.7063
5 O 0.3818 0.3585 0.2937
6 O 0.6415 0.0233 0.2937
7 O 0.6415 0.6182 0.7063
8 O 0.9767 0.3585 0.7063
9 O 0.9767 0.6182 0.2937

Output
* formation energy from raw total energies: -2653.0 meV/atom
* ρ: 6.9 g/cm³